# DyNiRh2 | Alexandria | PBE | relaxed
# Total energy, eV/atom: -6.57
# Energy above the most stable polymorph in this dataset, meV per atom: 253
data_DyNiRh2
_cell_length_a 6.3735
_cell_length_b 6.3735
_cell_length_c 6.3735
_cell_angle_alpha 90.00
_cell_angle_beta 90.00
_cell_angle_gamma 90.00
_symmetry_space_group_name_H-M 'F m -3 m'
_symmetry_Int_Tables_number 225
_symmetry_space_group_name_Hall '-F 4 2 3'
loop_
_atom_site_label
_atom_site_fract_x
_atom_site_fract_y
_atom_site_fract_z
Dy1 0.0000 0.0000 0.0000
Ni1 0.0000 0.0000 0.5000
Rh1 0.2500 0.2500 0.2500